Computed, not measured: a relaxed Ti2GaTc crystal at the PBEsol level of DFT.

Cell lengths 4.372, 4.372, 4.372 Å; angles 60.00, 60.00, 60.00 degrees
Fractional positions:
1 Ti 0.750 0.750 0.750
2 Tc 0.500 0.500 0.500
3 Ti 0.250 0.250 0.250
4 Ga 0.000 0.000 0.000

Calculated values
The calculation puts the calculated volume at 59.1 Å³ per cell. Its energy of formation is -10.94 kcal/mol of atoms. As for the magnetic moment: 0.00 μB per atom.


Computed, not measured: a relaxed Ti3GaTc crystal at the PBEsol level of DFT.

Cell lengths 4.535, 4.535, 4.535 Å; angles 90.00, 90.00, 90.00 degrees
Fractional positions:
1 Ti 0.500 0.000 0.000
2 Tc 0.500 0.500 0.500
3 Ti 0.000 0.500 0.000
4 Ti 0.000 0.000 0.500
5 Ga 0.000 0.000 0.000

Calculated values
The calculation puts the calculated volume at 93.3 Å³ per cell. Its energy of formation is 23.33 kcal/mol of atoms. As for the magnetic moment: 0.00 μB per atom.


Computed, not measured: a relaxed TiGa3Tc crystal at the PBEsol level of DFT.

Cell lengths 4.715, 4.715, 4.715 Å; angles 90.00, 90.00, 90.00 degrees
Each line ends with the local moment (μB).
Fractional positions:
1 Ti 0.000 0.000 0.000  -0.12
2 Ga 0.000 0.500 0.000  -0.02
3 Tc 0.500 0.500 0.500  3.22
4 Ga 0.500 0.000 0.000  -0.02
5 Ga 0.000 0.000 0.500  -0.02

Calculated values
The calculation puts the calculated volume at 104.8 Å³ per cell. Its energy of formation is 26.94 kcal/mol of atoms. As for the magnetic moment: 0.66 μB per atom.


Computed, not measured: a relaxed TiGaTc crystal at the PBEsol level of DFT.

Cell lengths 3.218, 3.218, 4.780 Å; angles 109.67, 109.67, 90.00 degrees
Fractional positions:
1 Ga 0.158 0.158 0.316
2 Ti 0.836 0.836 0.671
3 Tc 0.490 0.490 0.980

Calculated values
The calculation puts the calculated volume at 43.5 Å³ per cell. Its energy of formation is -12.24 kcal/mol of atoms. As for the magnetic moment: 0.00 μB per atom.


Computed, not measured: a relaxed TiGa2TcW crystal at the PBEsol level of DFT.

Cell lengths 4.551, 4.768, 4.768 Å; angles 90.00, 90.00, 90.00 degrees
Each line ends with the local moment (μB).
Fractional positions:
1 W 0.000 0.000 0.000  0.10
2 Ga 0.000 0.500 0.000  -0.01
3 Ga 0.000 0.000 0.500  -0.01
4 Tc 0.500 0.500 0.500  2.89
5 Ti 0.500 0.000 0.000  -0.19

Calculated values
The calculation puts the calculated volume at 103.5 Å³ per cell. Its energy of formation is 30.98 kcal/mol of atoms. As for the magnetic moment: 0.59 μB per atom.


Computed, not measured: a relaxed TlGa3Tc crystal at the PBEsol level of DFT.

Cell lengths 4.819, 4.819, 4.819 Å; angles 90.00, 90.00, 90.00 degrees
Fractional positions:
1 Tl 0.500 0.500 0.500
2 Tc 0.000 0.000 0.000
3 Ga 0.000 0.000 0.500
4 Ga 0.500 0.000 0.000
5 Ga 0.000 0.500 0.000

Calculated values
The calculation puts the calculated volume at 111.9 Å³ per cell. Its energy of formation is 2.18 kcal/mol of atoms. As for the magnetic moment: 0.00 μB per atom. The calculation puts the energy above the most stable polymorph in this dataset at 0.00 eV per formula unit.


Computed, not measured: a relaxed Ga3TcW crystal at the PBEsol level of DFT.

Cell lengths 4.646, 4.646, 4.646 Å; angles 90.00, 90.00, 90.00 degrees
Each line ends with the local moment (μB).
Fractional positions:
1 Ga 0.000 0.000 0.500  -0.04
2 W 0.500 0.500 0.500  2.69
3 Ga 0.000 0.500 0.000  -0.04
4 Tc 0.000 0.000 0.000  0.53
5 Ga 0.500 0.000 0.000  -0.04

Calculated values
The calculation puts the calculated volume at 100.3 Å³ per cell. Its energy of formation is 29.71 kcal/mol of atoms. As for the magnetic moment: 0.79 μB per atom.


Computed, not measured: a relaxed YGa3Tc crystal at the PBEsol level of DFT.

Cell lengths 5.159, 5.159, 5.159 Å; angles 90.00, 90.00, 90.00 degrees
Each line ends with the local moment (μB).
Fractional positions:
1 Y 0.000 0.000 0.000  -0.38
2 Tc 0.500 0.500 0.500  3.52
3 Ga 0.000 0.500 0.000  -0.08
4 Ga 0.500 0.000 0.000  -0.08
5 Ga 0.000 0.000 0.500  -0.08

Calculated values
The calculation puts the calculated volume at 137.3 Å³ per cell. Its energy of formation is 36.65 kcal/mol of atoms. As for the magnetic moment: 0.61 μB per atom.


Computed, not measured: a relaxed ZrGaTc crystal at the PBEsol level of DFT.

Cell lengths 5.168, 5.168, 5.168 Å; angles 89.04, 61.13, 120.03 degrees
Fractional positions:
1 Tc 0.000 0.000 0.500
2 Zr 0.750 0.383 0.867
3 Tc 0.500 0.500 0.500
4 Ga 0.000 0.000 0.000
5 Ga 0.500 0.000 0.500
6 Zr 0.250 0.617 0.133

Calculated values
The calculation puts the calculated volume at 98.4 Å³ per cell. Its energy of formation is -11.62 kcal/mol of atoms. As for the magnetic moment: 0.00 μB per atom.


Computed, not measured: a relaxed Ga2Te3 crystal at the PBEsol level of DFT.

Cell lengths 7.173, 7.177, 7.208 Å; angles 119.86, 99.37, 70.91 degrees
Fractional positions:
1 Te 0.984 0.845 0.538
2 Te 0.988 0.541 0.847
3 Te 0.484 0.307 0.462
4 Ga 0.378 0.353 0.825
5 Ga 0.878 0.529 0.175
6 Ga 0.874 0.219 0.501
7 Te 0.488 0.694 0.153
8 Ga 0.374 0.717 0.499
9 Te 0.526 0.983 0.838
10 Te 0.026 0.145 0.162

Calculated values
The calculation puts the calculated volume at 304.1 Å³ per cell. The formation energy (no corrections) is -1.372 eV per formula unit. As for the magnetic moment: 0.00 μB per atom.